(1)
# SmPu5Se8 PBE relaxed
data_SmPu5Se8
_chemical_formula_sum 'Sm1 Pu5 Se8'
_symmetry_space_group_name_H-M 'P 1'
_symmetry_Int_Tables_number 1
_cell_length_a 7.595
_cell_length_b 7.595
_cell_length_c 7.595
_cell_angle_alpha 109.48
_cell_angle_beta 109.45
_cell_angle_gamma 109.48
loop_
_symmetry_equiv_pos_as_xyz
'x,y,z'
loop_
_atom_site_label
_atom_site_type_symbol
_atom_site_fract_x
_atom_site_fract_y
_atom_site_fract_z
Se1 Se 0.976 0.100 0.727
Se2 Se 0.273 0.249 0.373
Pu1 Pu 0.375 0.124 0.999
Pu2 Pu 0.001 0.376 0.125
Se3 Se 0.627 0.900 0.875
Pu3 Pu 0.875 0.876 0.251
Pu4 Pu 0.749 0.624 0.625
Se4 Se 0.125 0.751 0.024
Se5 Se 0.477 0.602 0.227
Se6 Se 0.626 0.398 0.875
Se7 Se 0.773 0.250 0.374
Sm1 Sm 0.250 0.500 0.750
Pu5 Pu 0.500 0.000 0.500
Se8 Se 0.125 0.750 0.523
# **Volume**: 24.09 Å³ per atom
# **Space group**: I-4 (82)
# **Raw formation energy**: -156 kJ per mole of atoms


(2)
# Pr2Cd PBE relaxed
data_Pr2Cd
_chemical_formula_sum 'Pr4 Cd2'
_symmetry_space_group_name_H-M 'P 1'
_symmetry_Int_Tables_number 1
_cell_length_a 3.818
_cell_length_b 3.818
_cell_length_c 13.044
_cell_angle_alpha 90.00
_cell_angle_beta 90.00
_cell_angle_gamma 90.00
loop_
_symmetry_equiv_pos_as_xyz
'x,y,z'
loop_
_atom_site_label
_atom_site_type_symbol
_atom_site_fract_x
_atom_site_fract_y
_atom_site_fract_z
Pr1 Pr 0.500 0.500 0.304
Cd1 Cd 0.000 0.000 0.153
Pr2 Pr 0.500 0.500 0.000
Cd2 Cd 0.000 0.000 0.847
Pr3 Pr 0.500 0.500 0.696
Pr4 Pr 0.000 0.000 0.500
# **Excess energy over the best structure of this formula in the dataset**: 0.0 kJ/mol of formula units
# **Volume**: 31.69 Å³ per atom
# **Space group**: P4/mmm (123)
# **Formation enthalpy at 0 K**: -0.207 eV per atom


(3)
# NdSmGaNi PBE relaxed
data_NdSmGaNi
_chemical_formula_sum 'Nd1 Sm1 Ga1 Ni1'
_symmetry_space_group_name_H-M 'P 1'
_symmetry_Int_Tables_number 1
_cell_length_a 3.880
_cell_length_b 4.356
_cell_length_c 5.953
_cell_angle_alpha 90.00
_cell_angle_beta 109.02
_cell_angle_gamma 90.00
loop_
_symmetry_equiv_pos_as_xyz
'x,y,z'
loop_
_atom_site_label
_atom_site_type_symbol
_atom_site_fract_x
_atom_site_fract_y
_atom_site_fract_z
Ga1 Ga 0.565 0.500 0.130
Sm1 Sm 0.859 0.500 0.718
Nd1 Nd 0.142 0.000 0.283
Ni1 Ni 0.434 0.000 0.869
# **Volume**: 23.78 Å³ per atom
# **Space group**: Amm2 (38)
# **Formation enthalpy at 0 K**: -0.422 eV per atom


(4)
# Ba7In2Ag2 PBE relaxed
data_Ba7In2Ag2
_chemical_formula_sum 'Ba7 In2 Ag2'
_symmetry_space_group_name_H-M 'P 1'
_symmetry_Int_Tables_number 1
_cell_length_a 7.975
_cell_length_b 8.429
_cell_length_c 7.975
_cell_angle_alpha 90.00
_cell_angle_beta 109.20
_cell_angle_gamma 90.00
loop_
_symmetry_equiv_pos_as_xyz
'x,y,z'
loop_
_atom_site_label
_atom_site_type_symbol
_atom_site_fract_x
_atom_site_fract_y
_atom_site_fract_z
Ag1 Ag 0.705 0.000 0.295
Ba1 Ba 0.000 0.271 0.500
Ba2 Ba 0.000 0.000 0.000
In1 In 0.160 0.500 0.160
Ba3 Ba 0.000 0.729 0.500
In2 In 0.840 0.500 0.840
Ba4 Ba 0.500 0.262 0.500
Ba5 Ba 0.500 0.738 0.500
Ag2 Ag 0.295 0.000 0.705
Ba6 Ba 0.500 0.271 0.000
Ba7 Ba 0.500 0.729 0.000
# **Volume**: 46.02 Å³ per atom
# **Space group**: Cmmm (65)
# **Formation enthalpy at 0 K**: -0.158 eV per atom


(5)
# KRb2Rh PBE relaxed
data_KRb2Rh
_chemical_formula_sum 'K1 Rb2 Rh1'
_symmetry_space_group_name_H-M 'P 1'
_symmetry_Int_Tables_number 1
_cell_length_a 5.964
_cell_length_b 5.964
_cell_length_c 5.964
_cell_angle_alpha 60.00
_cell_angle_beta 60.00
_cell_angle_gamma 60.00
loop_
_symmetry_equiv_pos_as_xyz
'x,y,z'
loop_
_atom_site_label
_atom_site_type_symbol
_atom_site_fract_x
_atom_site_fract_y
_atom_site_fract_z
Rb1 Rb 0.750 0.750 0.750
K1 K 0.000 0.000 0.000
Rb2 Rb 0.250 0.250 0.250
Rh1 Rh 0.500 0.500 0.500
# **Excess energy over the best structure of this formula in the dataset**: 0.0 kJ/mol of formula units
# **Volume**: 37.50 Å³ per atom
# **Space group**: Fm-3m (225)
# **Formation enthalpy at 0 K**: 0.623 eV per atom


(6)
# SrRePt2 PBE relaxed
data_SrRePt2
_chemical_formula_sum 'Sr1 Re1 Pt2'
_symmetry_space_group_name_H-M 'P 1'
_symmetry_Int_Tables_number 1
_cell_length_a 5.093
_cell_length_b 5.093
_cell_length_c 2.838
_cell_angle_alpha 90.01
_cell_angle_beta 90.01
_cell_angle_gamma 89.95
loop_
_symmetry_equiv_pos_as_xyz
'x,y,z'
loop_
_atom_site_label
_atom_site_type_symbol
_atom_site_fract_x
_atom_site_fract_y
_atom_site_fract_z
Pt1 Pt 0.500 0.500 0.000
Pt2 Pt 0.000 0.000 0.000
Sr1 Sr 0.000 0.500 0.500
Re1 Re 0.500 0.000 0.500
# **Excess energy over the best structure of this formula in the dataset**: 52.0 kJ/mol of formula units
# **Volume**: 18.40 Å³ per atom
# **Space group**: P4/mmm (123)
# **Formation enthalpy at 0 K**: 0.071 eV per atom


(7)
# CdPt PBE relaxed
data_CdPt
_chemical_formula_sum 'Cd2 Pt2'
_symmetry_space_group_name_H-M 'P 1'
_symmetry_Int_Tables_number 1
_cell_length_a 2.962
_cell_length_b 2.962
_cell_length_c 9.457
_cell_angle_alpha 90.00
_cell_angle_beta 90.00
_cell_angle_gamma 120.00
loop_
_symmetry_equiv_pos_as_xyz
'x,y,z'
loop_
_atom_site_label
_atom_site_type_symbol
_atom_site_fract_x
_atom_site_fract_y
_atom_site_fract_z
Pt1 Pt 0.333 0.667 0.745
Pt2 Pt 0.000 0.000 0.505
Cd1 Cd 0.333 0.667 0.266
Cd2 Cd 0.000 0.000 0.984
# **Volume**: 17.96 Å³ per atom
# **Space group**: P-3m1 (164)
# **Formation enthalpy at 0 K**: -0.040 eV per atom


(8)
# SbTe2PbO PBE relaxed
data_SbTe2PbO
_chemical_formula_sum 'Sb1 Te2 Pb1 O1'
_symmetry_space_group_name_H-M 'P 1'
_symmetry_Int_Tables_number 1
_cell_length_a 5.896
_cell_length_b 5.896
_cell_length_c 5.938
_cell_angle_alpha 90.00
_cell_angle_beta 90.00
_cell_angle_gamma 90.00
loop_
_symmetry_equiv_pos_as_xyz
'x,y,z'
loop_
_atom_site_label
_atom_site_type_symbol
_atom_site_fract_x
_atom_site_fract_y
_atom_site_fract_z
Te1 Te 0.500 0.000 0.000
O1 O 0.500 0.500 0.500
Sb1 Sb 0.000 0.000 0.500
Te2 Te 0.000 0.500 0.000
Pb1 Pb 0.000 0.000 0.000
# **Excess energy over the best structure of this formula in the dataset**: 586.2 kJ/mol of formula units
# **Volume**: 41.29 Å³ per atom
# **Space group**: P4/mmm (123)
# **Raw formation energy**: 114 kJ per mole of atoms